[1]
# SrLi2NpO4, optimized geometry, DFT PBE
data_SrLi2NpO4
_cell_length_a 4.5412
_cell_length_b 4.5412
_cell_length_c 11.4309
_cell_angle_alpha 90.00
_cell_angle_beta 90.00
_cell_angle_gamma 90.00
_symmetry_space_group_name_H-M 'I -4 m 2'
_symmetry_Int_Tables_number 119
_symmetry_space_group_name_Hall 'I -4 -2'
loop_
_atom_site_label
_atom_site_type_symbol
_atom_site_fract_x
_atom_site_fract_y
_atom_site_fract_z
_atom_site_occupancy
Sr1 Sr 0.0000 0.0000 0.0000 1
Li1 Li 0.0000 0.0000 0.5000 1
Li2 Li 0.0000 0.5000 0.2500 1
Np1 Np 0.0000 0.5000 0.7500 1
O1 O 0.0000 0.0000 0.2381 1
O2 O 0.0000 0.5000 0.5587 1
# Raw formation energy   -2463 meV/atom

[2]
# CeErTh2, optimized geometry, DFT PBE
data_CeErTh2
_cell_length_a 3.5212
_cell_length_b 3.5212
_cell_length_c 34.4685
_cell_angle_alpha 90.00
_cell_angle_beta 90.00
_cell_angle_gamma 120.00
_symmetry_space_group_name_H-M 'R 3 m'
_symmetry_Int_Tables_number 160
_symmetry_space_group_name_Hall 'R 3 -2"'
loop_
_atom_site_label
_atom_site_type_symbol
_atom_site_fract_x
_atom_site_fract_y
_atom_site_fract_z
_atom_site_occupancy
Ce1 Ce 0.0000 0.0000 0.0000 1
Er1 Er 0.0000 0.0000 0.8311 1
Th1 Th 0.0000 0.0000 0.2503 1
Th2 Th 0.0000 0.0000 0.4148 1
# E above lowest polymorph   14 meV/atom
# ΔH_f (0 K)   0.042 eV/atom

[3]
# VSiTe2I, optimized geometry, DFT PBE
data_VSiTe2I
_cell_length_a 5.2229
_cell_length_b 5.2229
_cell_length_c 5.5299
_cell_angle_alpha 90.00
_cell_angle_beta 90.00
_cell_angle_gamma 90.00
_symmetry_space_group_name_H-M 'P 4/m m m'
_symmetry_Int_Tables_number 123
_symmetry_space_group_name_Hall '-P 4 2'
loop_
_atom_site_label
_atom_site_type_symbol
_atom_site_fract_x
_atom_site_fract_y
_atom_site_fract_z
_atom_site_occupancy
V1 V 0.0000 0.0000 0.0000 1
Si1 Si 0.5000 0.5000 0.5000 1
Te1 Te 0.0000 0.5000 0.0000 1
I1 I 0.0000 0.0000 0.5000 1
# E above lowest polymorph   0 meV/atom
# Raw formation energy   547 meV/atom

[4]
# Pm2Dy3Sc2, optimized geometry, DFT PBE
data_Pm2Dy3Sc2
_cell_length_a 5.2216
_cell_length_b 23.4583
_cell_length_c 3.4652
_cell_angle_alpha 90.00
_cell_angle_beta 90.00
_cell_angle_gamma 90.00
_symmetry_space_group_name_H-M 'C m m m'
_symmetry_Int_Tables_number 65
_symmetry_space_group_name_Hall '-C 2 2'
loop_
_atom_site_label
_atom_site_type_symbol
_atom_site_fract_x
_atom_site_fract_y
_atom_site_fract_z
_atom_site_occupancy
Pm1 Pm 0.0000 0.0759 0.0000 1
Dy1 Dy 0.0000 0.3424 0.5000 1
Dy2 Dy 0.0000 0.5000 0.5000 1
Sc1 Sc 0.0000 0.2167 0.0000 1
# E above lowest polymorph   0 meV/atom
# ΔH_f (0 K)   0.034 eV/atom

[5]
# MgPb2W, optimized geometry, DFT PBE
data_MgPb2W
_cell_length_a 7.2988
_cell_length_b 7.2988
_cell_length_c 7.2988
_cell_angle_alpha 90.00
_cell_angle_beta 90.00
_cell_angle_gamma 90.00
_symmetry_space_group_name_H-M 'F -4 3 m'
_symmetry_Int_Tables_number 216
_symmetry_space_group_name_Hall 'F -4 2 3'
loop_
_atom_site_label
_atom_site_type_symbol
_atom_site_fract_x
_atom_site_fract_y
_atom_site_fract_z
_atom_site_occupancy
Mg1 Mg 0.0000 0.0000 0.0000 1
Pb1 Pb 0.0000 0.0000 0.5000 1
Pb2 Pb 0.2500 0.2500 0.7500 1
W1 W 0.2500 0.2500 0.2500 1
# ΔH_f (0 K)   0.998 eV/atom

[6]
# ScFe4, optimized geometry, DFT PBE
data_ScFe4
_cell_length_a 4.3655
_cell_length_b 4.3655
_cell_length_c 4.3655
_cell_angle_alpha 90.00
_cell_angle_beta 90.00
_cell_angle_gamma 90.00
_symmetry_space_group_name_H-M 'P m -3 m'
_symmetry_Int_Tables_number 221
_symmetry_space_group_name_Hall '-P 4 2 3'
loop_
_atom_site_label
_atom_site_type_symbol
_atom_site_fract_x
_atom_site_fract_y
_atom_site_fract_z
_atom_site_occupancy
Sc1 Sc 0.0000 0.0000 0.0000 1
Fe1 Fe 0.0000 0.0000 0.5000 1
Fe2 Fe 0.5000 0.5000 0.5000 1
# E above lowest polymorph   1497 meV/atom
# ΔH_f (0 K)   1.560 eV/atom